The following is a PBE-GGA calculation of crystalline Ho2Cu2Pt at its relaxed geometry, from the Alexandria database.

offset from the most stable computed form: 0 meV/atom
calculated total energy: -53.0 eV for the cell shown
formation energy: -624 meV/atom
total moment: 0.0 Bohr magnetons per cell
space group: C2/m

```
Ho2Cu2Pt
1.0
-1.437 3.264 -1.766
-4.276 -1.164 -3.155
-7.431 2.634 6.431
Pt Ho Cu
2 4 4
Direct
0.789 0.101 0.320
0.211 0.899 0.680
0.309 0.265 0.117
0.490 0.681 0.338
0.510 0.319 0.662
0.691 0.735 0.883
0.029 0.838 0.105
0.971 0.162 0.895
0.138 0.272 0.452
0.862 0.728 0.548
```